This record from OQMD describes an optimized crystal structure of TbErMg. The functional is PBE-GGA.

Structure (CIF):
```
data_TbErMg
_space_group_name_H-M_alt 'F -4 3 m'
_space_group_IT_number 216
_space_group_name_Hall 'F -4 2 3'
_cell_length_a 7.377
_cell_length_b 7.377
_cell_length_c 7.377
_cell_angle_alpha 90.00
_cell_angle_beta 90.00
_cell_angle_gamma 90.00
loop_
_atom_site_label
_atom_site_type_symbol
_atom_site_fract_x
_atom_site_fract_y
_atom_site_fract_z
Tb1 Tb 0.000 0.000 0.000
Er1 Er 0.000 0.000 0.500
Mg1 Mg 0.250 0.250 0.750
```

Values from the calculation:
Calculated volume in Å³/cell: 401.52
Size of the total moment in μB per cell: 0.142
Distance to the lowest polymorph of the same formula in kJ per mole of atoms: 0.0
Final energy in eV/cell: -37.82